one:
Mn2SiF8 | the Alexandria database | PBE with a Hubbard U | relaxed; total magnetic moment = 10.000 μB per formula unit; D(E_F) = 0.00 states/eV/atom
1.0
-3.839 3.235 -1.348
-3.500 -3.185 5.115
-1.065 0.437 6.873
F Mn Si
8 2 1
Cartesian
-3.975 -1.703 5.786
-4.497 -2.024 10.403
-5.358 -0.087 7.602
-3.047 0.574 3.039
-5.679 0.332 3.953
-3.908 2.512 0.238
-4.429 2.191 4.855
-2.725 0.156 6.688
-5.792 -0.695 9.459
-2.612 1.183 1.182
0.000 0.000 0.000

=====

two:
Mn2SiF8 | the Alexandria database | PBE with a Hubbard U | relaxed; total magnetic moment = 10.000 μB per formula unit; D(E_F) = 0.00 states/eV/atom
1.0
4.372 -0.077 0.072
0.038 5.506 1.501
-0.124 0.261 5.700
Mn F Si
2 8 1
Cartesian
3.259 2.073 2.714
1.027 3.617 4.558
1.098 2.274 2.883
0.896 5.061 2.919
3.251 0.757 1.070
0.792 1.709 5.603
3.391 0.629 4.353
1.035 4.933 6.202
3.494 3.981 1.669
3.189 3.416 4.389
0.000 0.000 0.000

=====

Q: Which of them is the least stable? A: one.

=====

one:
MnSiF2 | the Alexandria database | PBE with a Hubbard U | relaxed; total magnetic moment = 4.305 μB per formula unit; D(E_F) = 0.26 states/eV/atom
1.0
-4.461 6.215 2.398
-5.061 4.290 4.501
-2.667 5.940 4.677
F Mn Si
2 1 1
Cartesian
-11.198 15.107 10.634
-0.992 1.338 0.942
0.000 0.000 0.000
-6.095 8.223 5.788

=====

two:
MnSiF2 | the Alexandria database | PBE with a Hubbard U | relaxed; total magnetic moment = 4.999 μB per formula unit; D(E_F) = 0.17 states/eV/atom
1.0
0.000 3.058 3.058
3.058 0.000 3.058
3.058 3.058 0.000
F Si Mn
2 1 1
Cartesian
4.586 4.586 4.586
1.529 1.529 1.529
0.000 0.000 0.000
3.058 3.058 3.058

=====

three:
MnSiF2 | the Alexandria database | PBE with a Hubbard U | relaxed; total magnetic moment = 4.969 μB per formula unit; D(E_F) = 0.27 states/eV/atom
1.0
5.739 0.000 0.000
0.000 5.739 0.000
2.869 2.869 4.708
F Mn Si
4 2 2
Cartesian
4.969 1.435 1.177
4.304 3.639 3.531
0.770 4.304 1.177
7.173 7.838 3.531
5.739 2.869 2.354
0.000 0.000 0.000
2.869 5.739 2.354
2.869 2.869 0.000

=====

Q: Which of them is the least stable? A: two.

=====

one:
MnSn3F | the Alexandria database | PBE with a Hubbard U | relaxed; total magnetic moment = 4.470 μB per formula unit; D(E_F) = 0.51 states/eV/atom
1.0
-1.432 -2.248 -4.170
-2.466 -3.366 2.662
-4.045 2.848 -0.146
Sn F Mn
3 1 1
Cartesian
-1.233 -1.683 1.331
-0.716 -1.124 -2.085
-2.022 1.424 -0.073
0.000 0.000 0.000
-3.972 -1.383 -0.827

=====

two:
MnSn3F | the Alexandria database | PBE with a Hubbard U | relaxed; total magnetic moment = 0.000 μB per formula unit; D(E_F) = 0.00 states/eV/atom
1.0
-3.902 -2.680 -1.170
0.014 -1.967 4.462
-2.924 3.567 1.582
Sn Mn F
3 1 1
Cartesian
-1.462 1.784 0.791
0.007 -0.983 2.231
-1.951 -1.340 -0.585
0.000 0.000 0.000
-3.406 -0.540 2.437

=====

Q: Which of them is the least stable? A: two.

=====

one:
SrMnF2 | the Alexandria database | PBE with a Hubbard U | relaxed; total magnetic moment = 5.019 μB per formula unit; D(E_F) = 0.10 states/eV/atom
1.0
-0.340 3.563 -5.015
-2.262 -4.743 -3.217
-6.911 1.041 -2.576
F Mn Sr
4 2 2
Cartesian
-7.707 -0.770 -9.486
-3.147 -2.648 -2.733
-2.260 2.284 -4.728
-5.912 0.857 -4.668
-5.237 -2.146 -4.955
-1.301 -0.590 -4.116
0.000 0.000 0.000
-4.276 2.007 -5.853

=====

two:
SrMnF2 | the Alexandria database | PBE with a Hubbard U | relaxed; total magnetic moment = 4.962 μB per formula unit; D(E_F) = 0.15 states/eV/atom
1.0
0.272 3.731 5.707
3.785 1.929 5.340
3.006 5.200 3.239
F Mn Sr
2 1 1
Cartesian
0.846 1.301 1.712
6.217 9.559 12.575
0.000 0.000 0.000
3.531 5.430 7.143

=====

three:
SrMnF2 | the Alexandria database | PBE with a Hubbard U | relaxed; total magnetic moment = 5.000 μB per formula unit; D(E_F) = 0.00 states/eV/atom
1.0
-2.447 -3.628 1.853
-4.731 0.265 0.366
-2.753 -2.682 -2.794
Sr F Mn
1 2 1
Cartesian
-4.965 -3.023 -0.288
-2.483 -1.511 -0.144
-7.448 -4.534 -0.432
0.000 0.000 0.000

=====

Q: Which of them is the least stable? A: three.

=====

one:
Sr2MnF2 | the Alexandria database | PBE with a Hubbard U | relaxed; total magnetic moment = 5.001 μB per formula unit; D(E_F) = 0.09 states/eV/atom
1.0
4.080 0.000 0.000
0.000 4.080 0.000
2.040 2.040 7.823
Mn Sr F
1 2 2
Cartesian
0.000 0.000 0.000
4.080 4.080 5.359
2.040 2.040 2.464
4.080 2.040 3.912
2.040 4.080 3.912

=====

two:
Sr2MnF2 | the Alexandria database | PBE with a Hubbard U | relaxed; total magnetic moment = 5.053 μB per formula unit; D(E_F) = 0.70 states/eV/atom
1.0
-8.429 3.054 -0.112
-3.034 -8.402 -0.768
-0.137 -0.256 3.346
F Sr Mn
4 4 2
Cartesian
-7.822 -5.930 0.911
-3.777 0.325 1.556
-2.660 -4.830 1.207
-8.940 -0.774 1.260
-5.703 0.832 -0.170
-9.245 -2.635 -0.581
-5.760 -6.181 -0.710
-2.217 -2.713 -0.299
0.000 0.000 0.000
-5.731 -2.674 -0.440

=====

Q: Which of them is the least stable? A: two.

=====

one:
Mn2TcF | the Alexandria database | PBE with a Hubbard U | relaxed; total magnetic moment = 7.159 μB per formula unit; D(E_F) = 0.78 states/eV/atom
1.0
0.958 -3.865 2.083
-3.305 -2.481 1.765
-1.129 -3.914 -1.896
Tc Mn F
1 2 1
Cartesian
-1.738 -5.130 0.975
-0.869 -2.565 0.488
-2.608 -7.695 1.463
0.000 0.000 0.000

=====

two:
Mn2TcF | the Alexandria database | PBE with a Hubbard U | relaxed; total magnetic moment = 7.200 μB per formula unit; D(E_F) = 0.55 states/eV/atom
1.0
6.507 0.000 0.000
0.000 6.507 0.000
3.254 3.254 3.080
F Mn Tc
2 4 2
Cartesian
3.254 6.507 1.540
3.254 3.254 0.000
2.027 4.881 0.770
8.134 7.735 2.310
4.881 5.280 2.310
4.481 1.627 0.770
0.000 0.000 0.000
6.507 3.254 1.540

=====

Q: Which of them is the least stable? A: one.

=====

one:
Mn2TeF | the Alexandria database | PBE with a Hubbard U | relaxed; total magnetic moment = 10.002 μB per formula unit; D(E_F) = 0.60 states/eV/atom
1.0
-2.569 1.800 4.577
3.326 -3.168 3.113
4.450 4.019 4.281
F Te Mn
2 2 4
Cartesian
0.378 -0.684 3.845
4.077 0.083 5.619
0.000 0.000 0.000
1.129 2.567 6.351
3.701 2.101 9.660
0.153 1.572 3.910
2.640 -0.589 3.998
3.919 2.217 6.373

=====

two:
Mn2TeF | the Alexandria database | PBE with a Hubbard U | relaxed; total magnetic moment = 9.933 μB per formula unit; D(E_F) = 0.65 states/eV/atom
1.0
0.000 3.414 3.414
3.414 0.000 3.414
3.414 3.414 0.000
Mn F Te
2 1 1
Cartesian
1.707 1.707 1.707
5.121 5.121 5.121
0.000 0.000 0.000
3.414 3.414 3.414

=====

Q: Which of them is the least stable? A: two.

=====

one:
MnTe2F | the Alexandria database | PBE with a Hubbard U | relaxed; total magnetic moment = 3.972 μB per formula unit; D(E_F) = 0.25 states/eV/atom
1.0
5.080 4.739 3.475
6.508 0.790 4.166
7.267 2.706 0.442
Te F Mn
2 1 1
Cartesian
16.903 7.382 7.245
1.952 0.853 0.837
0.000 0.000 0.000
9.428 4.117 4.041

=====

two:
MnTe2F | the Alexandria database | PBE with a Hubbard U | relaxed; total magnetic moment = 3.758 μB per formula unit; D(E_F) = 0.73 states/eV/atom
1.0
-2.054 -3.638 2.486
0.323 -0.117 4.849
-3.942 0.836 2.720
Te Mn F
2 1 1
Cartesian
-1.418 -0.730 2.514
-4.255 -2.189 7.541
-2.837 -1.459 5.028
0.000 0.000 0.000

=====

three:
MnTe2F | the Alexandria database | PBE with a Hubbard U | relaxed; total magnetic moment = 4.887 μB per formula unit; D(E_F) = 0.29 states/eV/atom
1.0
4.347 0.000 0.000
0.000 4.347 0.000
2.174 2.174 10.193
Te Mn F
4 2 2
Cartesian
3.261 3.254 7.645
1.081 3.261 2.548
5.434 5.440 7.645
3.267 1.087 2.548
0.000 0.000 0.000
4.347 2.174 5.096
2.174 4.347 5.096
2.174 2.174 0.000

=====

Q: Which of them is the least stable? A: two.

=====

one:
MnTeF2 | the Alexandria database | PBE with a Hubbard U | relaxed; total magnetic moment = 4.999 μB per formula unit; D(E_F) = 0.08 states/eV/atom
1.0
6.405 0.000 0.000
0.000 6.405 0.000
3.202 3.202 4.277
Te F Mn
2 4 2
Cartesian
6.405 3.202 2.139
0.000 0.000 0.000
2.681 4.803 1.069
8.006 6.926 3.208
4.803 5.883 3.208
3.724 1.601 1.069
3.202 3.202 0.000
3.202 6.405 2.139

=====

two:
MnTeF2 | the Alexandria database | PBE with a Hubbard U | relaxed; total magnetic moment = 4.984 μB per formula unit; D(E_F) = 0.34 states/eV/atom
1.0
8.068 1.588 5.293
7.672 -1.611 5.847
9.236 -0.598 3.159
F Te Mn
2 1 1
Cartesian
3.287 -0.082 1.881
21.690 -0.538 12.417
0.000 0.000 0.000
12.488 -0.310 7.149

=====

Q: Which of them is the least stable? A: one.

=====

one:
TiMn2F | the Alexandria database | PBE with a Hubbard U | relaxed; total magnetic moment = 7.001 μB per formula unit; D(E_F) = 0.66 states/eV/atom
1.0
0.000 3.285 3.285
3.285 0.000 3.285
3.285 3.285 0.000
Ti Mn F
1 2 1
Cartesian
3.285 3.285 3.285
1.642 1.642 1.642
4.927 4.927 4.927
0.000 0.000 0.000

=====

two:
TiMn2F | the Alexandria database | PBE with a Hubbard U | relaxed; total magnetic moment = 7.014 μB per formula unit; D(E_F) = 0.65 states/eV/atom
1.0
7.221 0.000 0.000
0.000 7.221 0.000
3.611 3.611 2.565
Mn F Ti
4 2 2
Cartesian
9.026 8.504 1.924
5.416 5.939 1.924
2.328 5.416 0.641
4.893 1.805 0.641
3.611 7.221 1.283
3.611 3.611 0.000
0.000 0.000 0.000
7.221 3.611 1.283

=====

Q: Which of them is the least stable? A: one.

=====

one:
TiMnF3 | the Alexandria database | PBE with a Hubbard U | relaxed; total magnetic moment = 5.645 μB per formula unit; D(E_F) = 1.22 states/eV/atom
1.0
-3.847 1.595 0.188
-1.311 -3.400 2.025
0.928 1.810 3.639
Mn Ti F
1 1 3
Cartesian
-2.115 0.003 2.926
0.000 0.000 0.000
-0.655 -1.700 1.013
-1.923 0.798 0.094
0.464 0.905 1.819

=====

two:
TiMnF3 | the Alexandria database | PBE with a Hubbard U | relaxed; total magnetic moment = 1.678 μB per formula unit; D(E_F) = 2.42 states/eV/atom
1.0
-3.399 -2.250 0.213
1.149 -1.388 3.663
-1.947 3.110 1.789
F Ti Mn
3 1 1
Cartesian
-1.699 -1.125 0.107
0.574 -0.694 1.831
-0.973 1.555 0.894
-2.098 -0.264 2.833
0.000 0.000 0.000

=====

Q: Which of them is the least stable? A: two.

=====

one:
Mn2Tl2F | the Alexandria database | PBE with a Hubbard U | relaxed; total magnetic moment = 9.002 μB per formula unit; D(E_F) = 0.26 states/eV/atom
1.0
6.353 0.000 0.000
0.000 6.353 0.000
0.000 0.000 5.239
Tl Mn F
4 4 2
Cartesian
2.092 1.084 2.620
5.269 2.092 2.620
1.084 4.261 2.620
4.261 5.269 2.620
2.129 5.306 0.000
1.047 2.129 0.000
5.306 4.224 0.000
4.224 1.047 0.000
0.000 0.000 0.000
3.177 3.177 0.000

=====

two:
Mn2Tl2F | the Alexandria database | PBE with a Hubbard U | relaxed; total magnetic moment = 9.288 μB per formula unit; D(E_F) = 0.44 states/eV/atom
1.0
6.004 0.000 0.000
0.000 6.004 0.000
3.002 3.002 3.496
Tl Mn F
2 2 1
Cartesian
3.002 6.004 1.748
6.004 3.002 1.748
3.002 3.002 1.486
6.004 6.004 2.010
0.000 0.000 0.000

=====

Q: Which of them is the least stable? A: two.